A plane-wave DFT calculation with GGA-PBE was carried out for a geometry-optimized MgTeCl2 structure.

a b c (Å): 4.677 4.667 5.012
angles (deg): 90.00 90.00 90.00
Element x y z (fractional)
Cl 0.000 0.000 0.125
Mg 0.000 0.000 0.625
Te 0.500 0.500 0.625
Cl 0.500 0.500 0.125

M_tot = 0.000 Bohr magnetons per cell
space-group type = Pmmm, No. 47
formation energy from raw total energies = -0.718 eV/atom
VASP energy = -11.3 eV for the cell shown
excess energy over the best structure of this formula in the dataset = 0.475 eV per atom

=====

A plane-wave DFT calculation with GGA-PBE was carried out for a geometry-optimized Ba2Sr2H7 structure.

a b c (Å): 6.059 5.961 6.059
angles (deg): 90.00 94.88 90.00
Element x y z (fractional)
Ba 0.249 0.500 0.249
H 0.000 0.000 0.000
H 0.500 0.245 0.000
H 0.000 0.755 0.500
H 0.000 0.245 0.500
H 0.500 0.241 0.500
H 0.500 0.755 0.000
H 0.500 0.759 0.500
Sr 0.274 0.000 0.726
Ba 0.751 0.500 0.751
Sr 0.726 0.000 0.274

M_tot = 0.000 Bohr magnetons per cell
space-group type = Cmmm, No. 65
VASP energy = -35.7 eV for the cell shown

=====

What is the formula in the first record?
MgTeCl2